# 1
The following is a DFT calculation (meta-GGA SCAN) of a crystal of Al2CoPb relaxed with PBEsol.

Values from the calculation:
- calculated formation energy (eV per atom) = -0.053
- space-group type = P4/mmm, No. 123
- total magnetic moment (μB/atom) = 0.167

The structure in POSCAR format:
```
Al2CoPb
1.0
2.9384 0.0000 0.0000
0.0000 2.9384 0.0000
0.0000 0.0000 8.0644
Pb Co Al
1 1 2
Cartesian
1.4692 1.4692 4.0322 Pb
1.4692 1.4692 0.0000 Co
0.0000 0.0000 6.6997 Al
0.0000 0.0000 1.3647 Al
```

---

# 2
The following is a DFT calculation (meta-GGA SCAN) of a crystal of Rb2NaPrCl6 relaxed with PBEsol.

Values from the calculation:
- space-group type = Fm-3m, No. 225
- formation energy without anion corrections (eV/atom) = -2.3082
- total magnetic moment (μB/atom) = 0.000

The structure in POSCAR format:
```
Rb2NaPrCl6
1.0
7.6372 0.0000 0.0000
3.8186 6.6140 0.0000
3.8186 2.2047 6.2357
Pr Na Rb Cl
1 1 2 6
Cartesian
0.0000 0.0000 0.0000 Pr
7.6372 4.4093 3.1179 Na
3.8186 2.2047 1.5589 Rb
11.4558 6.6140 4.6768 Rb
7.6372 2.2121 1.5642 Cl
5.7344 5.5079 1.5642 Cl
7.6372 6.6066 4.6715 Cl
9.5400 3.3107 4.6715 Cl
5.7344 3.3107 4.6715 Cl
9.5400 5.5079 1.5642 Cl
```

---

# 3
The following is a DFT calculation (meta-GGA SCAN) of a crystal of Sc4SbPb relaxed with PBEsol.

Values from the calculation:
- space-group type = F-43m, No. 216
- formation energy without anion corrections (eV/atom) = -0.0659
- total magnetic moment (μB/atom) = 0.002

The structure in POSCAR format:
```
Sc4SbPb
1.0
-3.7347 2.7124 -3.5287
-4.6968 -2.7998 -1.9642
-5.2782 1.4699 1.9331
Pb Sb Sc
1 1 4
Cartesian
-10.2823 1.0369 -2.6698 Pb
0.0000 0.0000 0.0000 Sb
-5.1409 0.5184 -1.3348 Sc
-7.7804 1.2535 -0.3682 Sc
-7.0085 1.8748 -3.0995 Sc
-7.4896 -0.8817 -2.3171 Sc
```

---

# 4
The following is a DFT calculation (meta-GGA SCAN) of a crystal of ScTl2Cd relaxed with PBEsol.

Values from the calculation:
- relative energy among the computed polymorphs (eV/f.u.) = 0.284
- calculated formation energy (eV per atom) = -0.174
- space-group type = Cm, No. 8
- total magnetic moment (μB/atom) = 0.000

The structure in POSCAR format:
```
ScTl2Cd
1.0
3.4272 0.0000 0.0000
0.0000 5.1330 -0.1098
-1.7136 -2.1158 5.3719
Sc Tl Cd
1 2 1
Cartesian
0.0000 3.1438 2.5601 Sc
1.7136 2.6871 5.1503 Tl
1.7136 0.5125 2.6717 Tl
1.7136 2.2573 0.0872 Cd
```

---

# 5
The following is a DFT calculation (meta-GGA SCAN) of a crystal of TlRe2H relaxed with PBEsol.

Values from the calculation:
- space-group type = Fm-3m, No. 225
- electronic total energy (eV/atom) = -52.55
- total magnetic moment (μB/atom) = 0.000

The structure in POSCAR format:
```
TlRe2H
1.0
4.3272 0.0000 0.0000
2.1636 3.7475 0.0000
2.1636 1.2492 3.5332
Re Tl H
2 1 1
Cartesian
2.1636 1.2492 0.8833 Re
6.4909 3.7475 2.6499 Re
4.3272 2.4983 1.7666 Tl
0.0000 0.0000 0.0000 H
```

---

# 6
The following is a DFT calculation (meta-GGA SCAN) of a crystal of BaYSc relaxed with PBEsol.

Values from the calculation:
- calculated formation energy (eV per atom) = 1.086
- space-group type = F-43m, No. 216
- total magnetic moment (μB/atom) = 0.000

The structure in POSCAR format:
```
BaYSc
1.0
5.2785 0.0000 0.0000
2.6393 4.5713 0.0000
2.6393 1.5238 4.3099
Ba Sc Y
1 1 1
Cartesian
2.6393 1.5238 1.0775 Ba
0.0000 0.0000 0.0000 Sc
5.2785 3.0475 2.1549 Y
```

---

# 7
The following is a DFT calculation (meta-GGA SCAN) of a crystal of La2RePb2 relaxed with PBEsol.

Values from the calculation:
- calculated formation energy (eV per atom) = 1.018
- space-group type = I4/mmm, No. 139
- total magnetic moment (μB/atom) = 0.346

The structure in POSCAR format:
```
La2RePb2
1.0
-0.0870 4.0891 -0.3197
-4.0866 -0.1137 -0.3425
1.4205 -1.3957 8.0852
Pb Re La
2 1 2
Cartesian
-0.5492 0.4880 6.3915 Pb
-2.2039 2.0918 1.0316 Pb
0.0000 0.0000 0.0000 Re
-2.3765 0.2392 3.7058 La
-0.3766 2.3406 3.7172 La
```

---

# 8
The following is a DFT calculation (meta-GGA SCAN) of a crystal of CuTc2Sb relaxed with PBEsol.

Values from the calculation:
- space-group type = Pmmm, No. 47
- formation energy without anion corrections (eV/atom) = 0.4658
- total magnetic moment (μB/atom) = 0.000

The structure in POSCAR format:
```
CuTc2Sb
1.0
-1.6818 2.6924 -0.3041
-1.4078 -1.3215 -3.9141
-3.4017 -1.9136 1.8696
Cu Sb Tc
1 1 2
Cartesian
-1.5448 0.6855 -2.1091 Cu
-2.4047 -1.6176 -1.0223 Sb
0.0000 0.0000 0.0000 Tc
-2.5417 0.3894 0.7827 Tc
```